(1)
{
  "formula": "SrTlZn2Cd",
  "functional": "GGA-PBEsol",
  "state": "relaxed",
  "formation_enthalpy_0k_ev_per_atom": 0.267,
  "total_magnetization_mub_per_cell": 0.000,
  "lattice": [[-3.6028, -3.6017, -0.5669], [2.8226, -2.2508, -3.6387], [2.5042, -3.1139, 3.8687]],
  "species": ["Sr", "Cd", "Zn", "Tl", "Zn"],
  "frac_coords": [[0.5000, 0.5000, 0.5000], [0.0000, 0.0000, 0.5000], [0.0000, 0.5000, 0.0000], [0.0000, 0.0000, 0.0000], [0.5000, 0.0000, 0.0000]]
}

***

(2)
{
  "formula": "MnTcI2O",
  "functional": "GGA-PBEsol",
  "state": "relaxed",
  "e_form_raw_ev_per_atom": 0.37,
  "total_magnetization_mub_per_cell": 0.268,
  "lattice": [[-1.7438, 0.3423, 2.8926], [-2.9461, -3.9852, -1.3045], [3.2641, -3.1803, 2.3441]],
  "species": ["Tc", "O", "I", "Mn", "I"],
  "frac_coords": [[0.5000, 0.5000, 0.5000], [0.5000, 0.0000, 0.0000], [0.0000, 0.5000, 0.0000], [0.0000, 0.0000, 0.0000], [0.0000, 0.0000, 0.5000]]
}

***

(3)
{
  "formula": "Cs4UGe8O20",
  "functional": "GGA-PBEsol",
  "state": "relaxed",
  "e_form_raw_ev_per_atom": -1.91,
  "total_magnetization_mub_per_cell": 3.585,
  "lattice": [[7.4699, 0.0313, 0.0000], [0.0938, 12.0964, 0.0000], [0.0000, 0.0000, 12.4248]],
  "species": ["O", "Cs", "Ge", "O", "O", "O", "O", "O", "O", "O", "O", "O", "O", "O", "O", "O", "O", "O", "O", "Ge", "Ge", "O", "Cs", "Cs", "O", "O", "Cs", "Cs", "O", "O", "O", "O", "Ge", "O", "Ge", "Cs", "Ge", "Ge", "U", "O", "Cs", "Ge", "O", "Ge", "Cs", "U", "O", "O", "O", "O", "Ge", "O", "O", "Ge", "O", "Ge", "Ge", "O", "O", "O", "Ge", "Ge", "O", "O", "O", "Ge"],
  "frac_coords": [[0.2120, 0.0794, 0.8994], [0.4999, 0.1712, 0.4180], [0.5543, 0.6938, 0.2763], [0.1117, 0.7339, 0.7001], [0.7272, 0.7951, 0.2986], [0.2880, 0.4206, 0.3994], [0.2272, 0.2951, 0.2014], [0.3012, 0.5676, 0.6075], [0.5824, 0.5881, 0.9951], [0.6117, 0.2339, 0.7999], [0.7120, 0.5794, 0.6006], [0.1771, 0.8846, 0.3477], [0.8308, 0.9083, 0.7026], [0.9996, 0.4854, 0.2547], [0.6632, 0.4742, 0.8099], [0.4996, 0.9854, 0.2453], [0.7880, 0.9206, 0.1006], [0.3308, 0.4083, 0.7974], [0.3368, 0.5258, 0.1901], [0.2202, 0.4268, 0.2650], [0.5344, 0.5004, 0.1081], [0.1988, 0.9324, 0.1075], [0.9869, 0.3227, 0.5550], [0.5001, 0.8288, 0.5820], [0.8012, 0.0676, 0.8925], [0.4176, 0.4119, 0.0049], [0.5131, 0.1773, 0.0550], [0.4869, 0.8227, 0.9450], [0.8230, 0.1154, 0.6523], [0.8883, 0.2661, 0.2999], [0.4816, 0.6521, 0.4035], [0.5004, 0.0146, 0.7547], [0.1953, 0.5964, 0.7292], [0.2728, 0.2049, 0.7014], [0.0543, 0.1938, 0.2237], [0.0001, 0.3288, 0.9180], [0.7202, 0.9268, 0.2350], [0.9656, 0.9996, 0.6081], [0.5000, 0.5000, 0.5000], [0.1632, 0.9742, 0.6901], [0.0131, 0.6773, 0.4450], [0.3047, 0.9036, 0.2292], [0.1692, 0.0917, 0.2974], [0.8047, 0.4036, 0.2708], [0.9999, 0.6712, 0.0820], [0.0000, 0.0000, 0.0000], [0.0004, 0.5146, 0.7453], [0.6770, 0.3846, 0.1523], [0.9816, 0.1521, 0.0965], [0.0824, 0.0881, 0.5049], [0.4457, 0.3062, 0.7237], [0.6988, 0.4324, 0.3925], [0.9176, 0.9119, 0.4951], [0.4656, 0.4996, 0.8919], [0.3230, 0.6154, 0.8477], [0.0344, 0.0004, 0.3919], [0.2798, 0.0732, 0.7650], [0.6692, 0.5917, 0.2026], [0.5184, 0.3479, 0.5965], [0.0184, 0.8479, 0.9035], [0.9457, 0.8062, 0.7763], [0.7798, 0.5732, 0.7350], [0.3883, 0.7661, 0.2001], [0.7728, 0.7049, 0.7986], [0.8368, 0.0258, 0.3099], [0.6953, 0.0964, 0.7708]]
}

***

Number 1: mass density 6.1 g/cm3, calculated total energy -7.50 eV per cell. Number 2: mass density 7.9 g/cm3, calculated total energy -27.95 eV per cell. Number 3: mass density 4.9 g/cm3, calculated total energy -447.04 eV per cell.